1.
Entry from Alexandria: crystalline Pr3I2N2 at its relaxed geometry (PBE).

ΔE_f (raw)   -1.326 eV per atom
Offset from the most stable computed form   0.000 eV/atom

Cell and atoms, written as extended XYZ:
```
7
Lattice="6.8592 -1.9952 0.0000 6.8592 1.9952 0.0000 -5.0035 0.0000 7.1994" Properties=species:S:1:pos:R:3 pbc="T T T"
Pr 0.0000 0.0000 0.0000
Pr -1.3184 0.0000 5.7668
Pr 10.0334 0.0000 1.4327
I 2.6254 0.0000 4.5911
I 6.0896 0.0000 2.6083
N 2.3532 0.0000 0.4720
N 6.3618 0.0000 6.7274
```

***

2.
Entry from Alexandria: crystalline Na8B13C3 at its relaxed geometry (PBE).

Offset from the most stable computed form   0.019 eV/atom
Energy of formation   0.201 eV/atom

Cell and atoms, written as extended XYZ:
```
24
Lattice="9.0017 -1.4300 0.0000 9.0017 1.4300 0.0000 -3.0707 0.0000 10.0504" Properties=species:S:1:pos:R:3 pbc="T T T"
Na 0.0000 0.0000 0.0000
Na 4.1025 0.0000 1.2414
Na 2.5894 0.0000 6.2862
Na 6.6556 0.0000 7.5258
Na 8.2383 0.0000 2.5020
Na 10.8156 0.0000 8.8001
Na 12.3686 0.0000 3.7686
Na 16.4317 0.0000 5.0157
B 1.5397 0.0000 2.2870
B 1.0371 0.0000 3.9317
B -0.0385 0.0000 7.4869
B 6.6743 0.0000 0.2121
B 5.6741 0.0000 3.4838
B 5.1490 0.0000 5.2185
B 10.8227 0.0000 1.3482
B 8.2635 0.0000 9.7285
B 9.7456 0.0000 4.9028
B 9.2611 0.0000 6.5291
B 14.9665 0.0000 2.5227
B 13.8657 0.0000 6.1615
B 13.3274 0.0000 7.9293
C -0.5108 0.0000 9.0008
C 4.1030 0.0000 8.6620
C 15.4397 0.0000 0.9576
```

***

3.
Entry from Alexandria: crystalline TaCrPt2 at its relaxed geometry (PBE).

Offset from the most stable computed form   0.019 eV/atom
Energy of formation   -0.476 eV/atom

Cell and atoms, written as extended XYZ:
```
4
Lattice="-1.9413 1.9413 4.0175 1.9413 -1.9413 4.0175 1.9413 1.9413 -4.0175" Properties=species:S:1:pos:R:3 pbc="T T T"
Ta 0.0000 0.0000 0.0000
Cr 0.0000 0.0000 4.0175
Pt 1.9413 0.0000 2.0087
Pt 0.0000 1.9413 2.0087
```

***

What did the third record say?
Entry from Alexandria: crystalline TaCrPt2 at its relaxed geometry (PBE).

Offset from the most stable computed form   0.019 eV/atom
Energy of formation   -0.476 eV/atom

Cell and atoms, written as extended XYZ:
```
4
Lattice="-1.9413 1.9413 4.0175 1.9413 -1.9413 4.0175 1.9413 1.9413 -4.0175" Properties=species:S:1:pos:R:3 pbc="T T T"
Ta 0.0000 0.0000 0.0000
Cr 0.0000 0.0000 4.0175
Pt 1.9413 0.0000 2.0087
Pt 0.0000 1.9413 2.0087
```

***

Which of these has the lowest offset from the most stable computed form?
Pr3I2N2

***

Which value of offset from the most stable computed form does entry 1 give?
0.000 eV/atom

***

What is the formula in the first record?
Pr3I2N2